Entry 1:
Material: LaTbZn
Method: DFT, GGA-PBE
State: optimized geometry

The crystal system is cubic. The symmetry is No. 216. The calculation puts the relative energy among the computed polymorphs at 0.00 kcal/mol of atoms. As for the energy of formation from the pure elements: 0.0 eV/f.u. The calculation puts the volume at 91.73 Å³ per cell.

a b c (Å): 5.062 5.062 5.062
angles (deg): 60.00 60.00 60.00
Sites, in units of the cell vectors:
1 La 0.000 0.000 0.000
2 Tb 0.500 0.500 0.500
3 Zn 0.250 0.250 0.250



Entry 2:
Material: LaTc2
Method: DFT, GGA-PBE
State: optimized geometry

The crystal system is cubic. The symmetry is No. 227. The calculation puts the relative energy among the computed polymorphs at 0.00 kcal/mol of atoms. As for the energy of formation from the pure elements: 0.3 eV/f.u. The calculation puts the volume at 118.48 Å³ per cell.

a b c (Å): 5.513 5.513 5.513
angles (deg): 60.00 60.00 60.00
Sites, in units of the cell vectors:
1 La 0.125 0.125 0.125
2 La 0.875 0.875 0.875
3 Tc 0.000 0.500 0.500
4 Tc 0.500 0.000 0.500
5 Tc 0.500 0.500 0.000
6 Tc 0.500 0.500 0.500